The following is a DFT calculation (GGA+U) of a relaxed structure of ScCr2PbO8.

The structure in POSCAR format:
```
ScCr2PbO8
1.0
-1.213 5.417 0.850
-3.025 -3.988 2.547
4.367 0.131 5.395
Sc Cr Pb O
1 2 1 8
Direct
0.000 0.000 0.500
0.667 0.333 0.231
0.333 0.667 0.769
0.000 0.000 0.000
0.333 0.667 0.006
0.332 0.167 0.306
0.833 0.165 0.306
0.667 0.333 0.994
0.167 0.835 0.694
0.668 0.833 0.694
0.165 0.332 0.694
0.835 0.668 0.306
```

Properties
SG = P-3m1, No. 164
Fermi-level density of states = 5.020 states/eV/cell

---

The following is a DFT calculation (GGA+U) of a relaxed structure of CrPbSe2O8.

The structure in POSCAR format:
```
CrPbSe2O8
1.0
5.133 -0.227 0.047
2.167 4.659 0.047
0.422 0.256 7.757
Cr Pb Se O
1 1 2 8
Direct
0.000 0.000 0.000
0.000 0.000 0.500
0.636 0.636 0.226
0.364 0.364 0.774
0.719 0.235 0.782
0.762 0.762 0.052
0.713 0.713 0.418
0.287 0.287 0.582
0.238 0.238 0.948
0.235 0.719 0.782
0.765 0.281 0.218
0.281 0.765 0.218
```

Properties
SG = C2/m, No. 12

---

The following is a DFT calculation (GGA+U) of a relaxed structure of CrPbSeO6.

The structure in POSCAR format:
```
CrPbSeO6
1.0
5.116 0.001 0.062
2.559 4.316 0.030
0.064 -0.001 5.444
Cr Pb Se O
1 1 1 6
Direct
0.675 0.650 0.500
0.006 0.988 0.000
0.333 0.334 0.500
0.014 0.387 0.303
0.375 0.016 0.692
0.600 0.387 0.697
0.015 0.611 0.693
0.375 0.610 0.307
0.608 0.016 0.308
```

Properties
SG = C2, No. 5

---

The following is a DFT calculation (GGA+U) of a relaxed structure of Cr2SiPbO8.

The structure in POSCAR format:
```
Cr2SiPbO8
1.0
-1.837 -3.937 -2.555
-1.734 -3.770 2.860
-6.664 2.720 0.044
Cr Si Pb O
2 1 1 8
Direct
0.637 0.637 0.206
0.363 0.363 0.794
0.000 0.000 0.000
0.000 0.000 0.500
0.746 0.208 0.820
0.797 0.797 0.052
0.702 0.702 0.421
0.298 0.298 0.579
0.203 0.203 0.948
0.208 0.746 0.820
0.792 0.254 0.180
0.254 0.792 0.180
```

Properties
SG = C2/m, No. 12
Fermi-level density of states = 0.247 states/eV/cell

---

The following is a DFT calculation (GGA+U) of a relaxed structure of CrSiPbO4.

The structure in POSCAR format:
```
CrSiPbO4
1.0
0.078 5.463 0.311
-3.522 -0.199 4.387
5.090 -2.101 3.991
Cr Si Pb O
2 2 2 8
Direct
0.774 0.750 0.437
0.226 0.250 0.563
0.258 0.750 0.336
0.742 0.250 0.664
0.717 0.750 0.898
0.283 0.250 0.102
0.935 0.481 0.700
0.065 0.981 0.300
0.065 0.519 0.300
0.935 0.019 0.700
0.447 0.750 0.181
0.553 0.250 0.819
0.464 0.750 0.562
0.536 0.250 0.438
```

Properties
SG = P2_1/m, No. 11
Fermi-level density of states = 0.000 states/eV/cell

---

The following is a DFT calculation (GGA+U) of a relaxed structure of CrSi2PbO6.

The structure in POSCAR format:
```
CrSi2PbO6
1.0
5.360 -0.130 -0.135
1.530 6.884 0.159
1.530 -0.096 6.885
Cr Si Pb O
2 4 2 12
Direct
0.250 0.400 0.600
0.750 0.600 0.400
0.287 0.868 0.689
0.213 0.311 0.132
0.713 0.132 0.311
0.787 0.689 0.868
0.250 0.798 0.202
0.750 0.202 0.798
0.205 0.088 0.620
0.295 0.380 0.912
0.795 0.912 0.380
0.705 0.620 0.088
0.366 0.701 0.522
0.134 0.478 0.299
0.634 0.299 0.478
0.866 0.522 0.701
0.028 0.813 0.846
0.472 0.154 0.187
0.972 0.187 0.154
0.528 0.846 0.813
```

Properties
SG = C2/c, No. 15
Fermi-level density of states = 0.000 states/eV/cell

---

| no. | final energy (eV/atom) | volume (Å³ per atom) |
| --- | --- | --- |
| 1 | -7.07 | 15.8 |
| 2 | -5.78 | 15.8 |
| 3 | -6.02 | 13.4 |
| 4 | -6.86 | 13.8 |
| 5 | -7.08 | 14.4 |
| 6 | -7.40 | 12.8 |